# KReSeN2

KReSeN2 after structural relaxation (GGA-PBE, Alexandria).

Properties
density of states at the Fermi level = 1.966 states/eV/f.u.
ΔE_f (raw) = 1.1 eV/f.u.
VASP energy = -6.511 eV per atom
relative energy among the computed polymorphs = 0 meV/atom

Unit cell a=3.986 b=3.986 c=5.230 alpha=90.00 beta=90.00 gamma=90.00
Space group P4/mmm (No. 123)
One atom of each set of equivalent atoms:
1 K 0.000 0.000 0.000 [1 per cell]
2 Re 0.500 0.500 0.500 [1 per cell]
3 Se 0.500 0.500 0.000 [1 per cell]
4 N 0.000 0.500 0.500 [2 per cell]